1.
A plane-wave DFT calculation with PBE-GGA was carried out for crystalline ZrScSi2 at its relaxed geometry.

Structure (CIF):
```
data_ZrScSi2
_space_group_name_H-M_alt 'P 4/m m m'
_space_group_IT_number 123
_space_group_name_Hall '-P 4 2'
_cell_length_a 3.8299
_cell_length_b 3.8299
_cell_length_c 5.4212
_cell_angle_alpha 90.00
_cell_angle_beta 90.00
_cell_angle_gamma 90.00
loop_
_atom_site_label
_atom_site_fract_x
_atom_site_fract_y
_atom_site_fract_z
Zr1 0.0000 0.0000 0.0000
Sc1 0.5000 0.5000 0.5000
Si1 0.0000 0.0000 0.5000
Si2 0.5000 0.5000 0.0000
```

Properties
relative energy among the computed polymorphs: 332 meV/atom
density: 4.02 Mg/m³
energy relative to the elements, uncorrected: -2.2 eV per formula unit
total magnetic moment: 0.00 μB/f.u.

=====

2.
A plane-wave DFT calculation with PBE-GGA was carried out for crystalline ThCo9Si2 at its relaxed geometry.

Structure (CIF):
```
data_ThCo9Si2
_space_group_name_H-M_alt 'I 41/a m d'
_space_group_IT_number 141
_cell_length_a 9.7285
_cell_length_b 9.7285
_cell_length_c 6.2812
_cell_angle_alpha 90.00
_cell_angle_beta 90.00
_cell_angle_gamma 90.00
loop_
_space_group_symop_operation_xyz
'x,y,z'
'-x,-y,-z'
'-y+1/4,x+3/4,z+1/4'
'y+1/4,-x+3/4,-z+1/4'
'-x+1/2,-y,z+1/2'
'x+1/2,y,-z+1/2'
'y+1/4,-x+1/4,z+3/4'
'-y+1/4,x+1/4,-z+3/4'
'x,-y,-z'
'-x,y,z'
'-y+1/4,-x+1/4,-z+3/4'
'y+1/4,x+1/4,z+3/4'
'-x+1/2,y,-z+1/2'
'x+1/2,-y,z+1/2'
'y+1/4,x+3/4,-z+1/4'
'-y+1/4,-x+3/4,z+1/4'
'x+1/2,y+1/2,z+1/2'
'-x+1/2,-y+1/2,-z+1/2'
'-y+3/4,x+1/4,z+3/4'
'y+3/4,-x+1/4,-z+3/4'
'-x,-y+1/2,z'
'x,y+1/2,-z'
'y+3/4,-x+3/4,z+1/4'
'-y+3/4,x+3/4,-z+1/4'
'x+1/2,-y+1/2,-z+1/2'
'-x+1/2,y+1/2,z+1/2'
'-y+3/4,-x+3/4,-z+1/4'
'y+3/4,x+3/4,z+1/4'
'-x,y+1/2,-z'
'x,-y+1/2,z'
'y+3/4,x+1/4,-z+3/4'
'-y+3/4,-x+1/4,z+3/4'
loop_
_atom_site_label
_atom_site_fract_x
_atom_site_fract_y
_atom_site_fract_z
Th1 0.0000 0.2500 0.3750
Co1 0.0000 0.2500 0.8750
Co2 0.1246 0.0438 0.6861
Si1 0.0000 0.0000 0.0000
```

Properties
density: 9.15 Mg/m³
energy relative to the elements, uncorrected: -4.1 eV per formula unit
total magnetic moment: 8.36 μB/f.u.

=====

3.
A plane-wave DFT calculation with PBE-GGA was carried out for crystalline Zr2InSi at its relaxed geometry.

Structure (CIF):
```
data_Zr2InSi
_space_group_name_H-M_alt 'C m m 2'
_space_group_IT_number 35
_cell_length_a 4.1731
_cell_length_b 5.1911
_cell_length_c 7.8459
_cell_angle_alpha 90.00
_cell_angle_beta 90.00
_cell_angle_gamma 90.00
loop_
_space_group_symop_operation_xyz
'x,y,z'
'-x,-y,z'
'-x,y,z'
'x,-y,z'
'x+1/2,y+1/2,z'
'-x+1/2,-y+1/2,z'
'-x+1/2,y+1/2,z'
'x+1/2,-y+1/2,z'
loop_
_atom_site_label
_atom_site_fract_x
_atom_site_fract_y
_atom_site_fract_z
Zr1 0.0000 0.0000 0.0000
Zr2 0.0000 0.5000 0.2911
In1 0.0000 0.0000 0.5643
Si1 0.0000 0.5000 0.7959
```

Properties
density: 6.36 Mg/m³
energy relative to the elements, uncorrected: -0.4 eV per formula unit
total magnetic moment: 0.00 μB/f.u.